A relaxed structure of NaMnAg2. Source: the Alexandria database, functional GGA-PBE.

E	-27.86	eV/cell
formation energy	0.5653	eV per atom
energy relative to the lowest polymorph listed for this composition	290	meV per atom

Lattice parameters (Å, degrees): 4.1310 4.1310 10.1662 78.28 78.28 90.00
Closest atoms and distances in Å follow each position.
Fractional coordinates of all 8 atoms:
Mn1 0.0000 0.0000 0.0000  4 Ag 2.82, 4 Na 2.92
Mn2 0.7500 0.2500 0.5000  4 Ag 2.82, 4 Na 2.92
Na1 0.5000 0.5000 0.0000  4 Ag 2.86, 4 Mn 2.92
Ag1 0.1119 0.6250 0.2500  2 Mn 2.82, 4 Ag 2.85-3.00, 2 Na 2.86
Na2 0.2500 0.7500 0.5000  4 Ag 2.86, 4 Mn 2.92
Ag2 0.3750 0.3619 0.7500  2 Mn 2.82, 4 Ag 2.85-3.00, 2 Na 2.86
Ag3 0.6381 0.1250 0.2500  2 Mn 2.82, 4 Ag 2.85-3.00, 2 Na 2.86
Ag4 0.8750 0.8881 0.7500  2 Mn 2.82, 4 Ag 2.85-3.00, 2 Na 2.86